Entry 1:
# BaGa3P GGA-PBEsol relaxed
# Excess energy over the best structure of this formula in the dataset   1.4434 eV/atom
# Calculated formation energy   139 kJ per mole of atoms
# Density   3.3 g/cm3
# Size of the total moment   0.00 μB per formula unit
data_BaGa3P
_chemical_formula_sum 'Ba1 Ga3 P1'
_symmetry_space_group_name_H-M 'P m -3 m'
_symmetry_Int_Tables_number 221
_symmetry_space_group_name_Hall '-P 4 2 3'
_cell_length_a 5.7214
_cell_length_b 5.7214
_cell_length_c 5.7214
_cell_angle_alpha 90.00
_cell_angle_beta 90.00
_cell_angle_gamma 90.00
loop_
_atom_site_label
_atom_site_type_symbol
_atom_site_fract_x
_atom_site_fract_y
_atom_site_fract_z
Ba1 Ba 0.0000 0.0000 0.0000
Ga1 Ga 0.0000 0.0000 0.5000
P1 P 0.5000 0.5000 0.5000

---

Entry 2:
# BaGa2P2 GGA-PBEsol relaxed
# Calculated formation energy   -36 kJ per mole of atoms
# Density   5.1 g/cm3
# Size of the total moment   0.00 μB per formula unit
data_BaGa2P2
_chemical_formula_sum 'Ba2 Ga4 P4'
_symmetry_space_group_name_H-M 'I 4/m m m'
_symmetry_Int_Tables_number 139
_symmetry_space_group_name_Hall '-I 4 2'
_cell_length_a 4.4053
_cell_length_b 4.4053
_cell_length_c 11.4377
_cell_angle_alpha 90.00
_cell_angle_beta 90.00
_cell_angle_gamma 90.00
loop_
_atom_site_label
_atom_site_type_symbol
_atom_site_fract_x
_atom_site_fract_y
_atom_site_fract_z
Ba1 Ba 0.0000 0.0000 0.0000
Ga1 Ga 0.0000 0.5000 0.2500
P1 P 0.0000 0.0000 0.4031

---

Entry 3:
# BaGa3P GGA-PBEsol relaxed
# Excess energy over the best structure of this formula in the dataset   0.0000 eV/atom
# Calculated formation energy   0 kJ per mole of atoms
# Density   5.1 g/cm3
# Size of the total moment   0.00 μB per formula unit
data_BaGa3P
_chemical_formula_sum 'Ba1 Ga3 P1'
_symmetry_space_group_name_H-M 'P m -3 m'
_symmetry_Int_Tables_number 221
_symmetry_space_group_name_Hall '-P 4 2 3'
_cell_length_a 4.9795
_cell_length_b 4.9795
_cell_length_c 4.9795
_cell_angle_alpha 90.00
_cell_angle_beta 90.00
_cell_angle_gamma 90.00
loop_
_atom_site_label
_atom_site_type_symbol
_atom_site_fract_x
_atom_site_fract_y
_atom_site_fract_z
Ba1 Ba 0.0000 0.0000 0.0000
Ga1 Ga 0.0000 0.5000 0.5000
P1 P 0.5000 0.5000 0.5000

---

Computed E (eV per atom) in order:
-2.148 -4.452 -3.592
Computed D(E_F) (states/eV/atom) in order:
0.849 0.446 0.693